First-principles (PBE) data for an optimized crystal structure of Pm2HfSb, as listed in Alexandria. Values from VASP.

```
&SYSTEM
  ibrav = 0, nat = 4, ntyp = 3
/
ATOMIC_SPECIES
Sb 121.76 Sb.upf
Hf 178.49 Hf.upf
Pm 145.00 Pm.upf
CELL_PARAMETERS angstrom
-3.310 -0.960 -3.194
-2.051 -3.039 3.039
-2.687 3.535 1.722
ATOMIC_POSITIONS angstrom
Sb -4.024 -0.232 0.783
Hf -1.655 -0.480 -1.597
Pm -1.343 1.768 0.861
Pm -1.026 -1.520 1.520
```

- Total magnetization: 0.00 μB/f.u.
- Symmetry: No. 123
- E_form (uncorrected): -0.310 eV/atom
- Calculated volume: 26.6 Å³/atom
- E: -24.82 eV per cell